[1]
Computed, not measured: a relaxed structure of AlTe2 at the GGA-PBEsol level of DFT.

a b c (Å): 3.5618 3.5618 11.3807
angles (deg): 90.00 90.00 90.00
Last column: nearest neighbours and their distance in Å.
Space group I4/mmm (No. 139)
Symmetry-distinct sites (fractional):
Al1 0.0000 0.0000 0.0000  8 Te 3.01
Te1 0.0000 0.0000 0.3552  4 Al 3.01, 1 Te 3.30

Output
The crystal system is tetragonal. As for the density of states at the Fermi level: 0.540 states/eV/atom.

***

[2]
Computed, not measured: a relaxed structure of Al2Te at the GGA-PBEsol level of DFT.

a b c (Å): 7.9415 7.9415 7.9415
angles (deg): 90.00 90.00 90.00
Last column: nearest neighbours and their distance in Å.
Space group Fd-3m (No. 227, origin choice 2)
Symmetry-distinct sites (fractional):
Al1 0.0000 0.0000 0.0000  6 Al 2.81
Te1 0.1250 0.1250 0.6250  12 Al 3.29, 4 Te 3.44

Output
The crystal system is cubic. As for the density of states at the Fermi level: 0.650 states/eV/atom.

***

[3]
Computed, not measured: a relaxed structure of AlTe2 at the GGA-PBEsol level of DFT.

a b c (Å): 5.5068 5.5068 3.0192
angles (deg): 90.00 90.00 120.00
Last column: nearest neighbours and their distance in Å.
Space group P6/mmm (No. 191)
Symmetry-distinct sites (fractional):
Al1 0.0000 0.0000 0.0000  2 Al 3.02
Te1 0.3333 0.6667 0.5000  5 Te 3.02-3.18

Output
The crystal system is hexagonal. As for the density of states at the Fermi level: 0.580 states/eV/atom.

***

[4]
Computed, not measured: a relaxed structure of Al7Te10 at the GGA-PBEsol level of DFT.

a b c (Å): 14.4053 14.4053 17.8809
angles (deg): 90.00 90.00 120.00
Last column: nearest neighbours and their distance in Å.
Space group R32 (No. 155, hexagonal axes)
Symmetry-distinct sites (fractional):
Al1 0.0000 0.0000 0.0720  1 Al 2.58, 3 Te 2.67
Al2 0.0055 0.5909 0.7492  4 Te 2.56-2.68
Al3 0.0782 0.8846 0.2707  4 Te 2.58-2.67
Te1 0.0000 0.0000 0.3331  3 Al 2.67
Te2 0.0000 0.4122 0.0000  2 Al 2.58
Te3 0.0000 0.8276 0.5000  2 Al 2.56
Te4 0.0312 0.5619 0.3946  3 Al 2.66-2.68
Te5 0.0548 0.1920 0.1294  3 Al 2.65-2.67

Output
The crystal system is trigonal.

***

[5]
Computed, not measured: a relaxed structure of Al8Te at the GGA-PBEsol level of DFT.

a b c (Å): 8.8552 8.8552 4.0721
angles (deg): 90.00 90.00 90.00
Last column: nearest neighbours and their distance in Å.
Space group I4/mmm (No. 139)
Symmetry-distinct sites (fractional):
Al1 0.0000 0.3413 0.0000  11 Al 2.81-2.95, 1 Te 3.02
Al2 0.1772 0.1772 0.5000  8 Al 2.73-2.95, 2 Te 3.01
Te1 0.0000 0.0000 0.0000  12 Al 3.01-3.02

Output
The crystal system is tetragonal. As for the density of states at the Fermi level: 0.432 states/eV/atom.

***

[6]
Computed, not measured: a relaxed structure of AlTe4 at the GGA-PBEsol level of DFT.

a b c (Å): 6.6886 6.6886 6.6886
angles (deg): 90.00 90.00 90.00
Last column: nearest neighbours and their distance in Å.
Space group Im-3m (No. 229)
Symmetry-distinct sites (fractional):
Al1 0.0000 0.0000 0.0000  8 Te 2.90
Te1 0.2500 0.2500 0.2500  2 Al 2.90

Output
The crystal system is cubic. As for the density of states at the Fermi level: 0.627 states/eV/atom.

***

| no. | ΔE_f (raw) (eV/atom) |
| --- | --- |
| 1 | 0.0458 |
| 2 | 0.2023 |
| 3 | 0.3039 |
| 4 | -0.3735 |
| 5 | 0.1068 |
| 6 | 0.1821 |